FeHgPd2F: relaxed, PBE with a Hubbard U.

CIF file:
```
data_FeHgPd2F
_space_group_name_H-M_alt 'P 4/m m m'
_space_group_IT_number 123
_space_group_name_Hall '-P 4 2'
_cell_length_a 4.962
_cell_length_b 4.962
_cell_length_c 3.760
_cell_angle_alpha 90.00
_cell_angle_beta 90.00
_cell_angle_gamma 90.00
loop_
_atom_site_label
_atom_site_type_symbol
_atom_site_fract_x
_atom_site_fract_y
_atom_site_fract_z
Fe1 Fe 0.000 0.000 0.000
Hg1 Hg 0.500 0.500 0.500
Pd1 Pd 0.000 0.500 0.000
F1 F 0.000 0.000 0.500
```

Calculated values
* uncorrected energy: -0.14168 Ha/atom
* volume: 18.52 A^3/atom